(1)
Crystalline BaCu2PdF8 at its relaxed geometry, computed with PBE.

* crystal system: trigonal
* M_tot: 0.010 μB/atom
* raw formation energy: -1.90 eV/atom
* SG: No. 164
* E: -53.12 eV per cell

a b c (Å): 5.8974 5.8974 7.3176
angles (deg): 90.00 90.00 120.00
Site moments in Bohr magnetons follow the coordinates.
Sites, in units of the cell vectors:
Pd1 0.0000 0.0000 0.0000  -0.18
F1 0.6667 0.3333 0.5307  0.02
F2 0.6930 0.8465 0.8129  0.00
F3 0.1535 0.3070 0.8129  0.00
F4 0.8465 0.1535 0.1871  0.00
F5 0.8465 0.6930 0.1871  0.00
F6 0.1535 0.8465 0.8129  0.00
F7 0.3070 0.1535 0.1871  0.00
F8 0.3333 0.6667 0.4693  0.02
Cu1 0.3333 0.6667 0.7256  0.14
Cu2 0.6667 0.3333 0.2744  0.14
Ba1 0.0000 0.0000 0.5000  0.00



(2)
Crystalline Ba2Cu3PdF12 at its relaxed geometry, computed with PBE.

* crystal system: trigonal
* M_tot: 0.279 μB/atom
* raw formation energy: -2.14 eV/atom
* SG: No. 166
* E: -82.27 eV per cell

a b c (Å): 7.4483 7.4483 7.4483
angles (deg): 56.33 56.33 56.33
Site moments in Bohr magnetons follow the coordinates.
Sites, in units of the cell vectors:
F1 0.8694 0.8694 0.3970  0.09
F2 0.2875 0.2875 0.8677  0.12
F3 0.7125 0.1323 0.7125  0.12
F4 0.7125 0.7125 0.1323  0.12
F5 0.8677 0.2875 0.2875  0.12
F6 0.3970 0.8694 0.8694  0.09
F7 0.1306 0.1306 0.6030  0.09
F8 0.6030 0.1306 0.1306  0.09
F9 0.2875 0.8677 0.2875  0.12
F10 0.8694 0.3970 0.8694  0.09
F11 0.1323 0.7125 0.7125  0.12
F12 0.1306 0.6030 0.1306  0.09
Pd1 0.0000 0.0000 0.0000  1.44
Cu1 0.0000 0.5000 0.0000  0.74
Cu2 0.5000 0.0000 0.0000  0.74
Cu3 0.0000 0.0000 0.5000  0.74
Ba1 0.3830 0.3830 0.3830  0.00
Ba2 0.6170 0.6170 0.6170  0.00



(3)
Crystalline RbBaCu2F at its relaxed geometry, computed with PBE.

* crystal system: tetragonal
* M_tot: 0.000 μB/atom
* raw formation energy: 0.11 eV/atom
* SG: No. 123
* E: -12.42 eV per cell

a b c (Å): 5.6954 11.4322 5.6954
angles (deg): 90.00 90.00 90.00
Sites, in units of the cell vectors:
F1 0.5000 0.5000 0.5000
Rb1 0.0000 0.5000 0.0000
Ba1 0.0000 0.0000 0.0000
Cu1 0.5000 0.0000 0.0000
Cu2 0.0000 0.0000 0.5000



(4)
Crystalline Rb2BaCuF6 at its relaxed geometry, computed with PBE.

* crystal system: tetragonal
* M_tot: 0.100 μB/atom
* raw formation energy: -2.66 eV/atom
* SG: No. 139
* E: -45.79 eV per cell

a b c (Å): 6.3292 6.3292 6.6889
angles (deg): 61.76 61.76 90.00
Site moments in Bohr magnetons follow the coordinates.
Sites, in units of the cell vectors:
Cu1 0.5000 0.5000 0.0000  0.73
Rb1 0.2500 0.7500 0.5000  0.00
Rb2 0.7500 0.2500 0.5000  0.00
F1 0.7163 0.7163 0.0000  0.06
F2 0.7163 0.2837 0.0000  0.06
F3 0.7458 0.7458 0.5085  0.00
F4 0.2837 0.2837 0.0000  0.06
F5 0.2837 0.7163 0.0000  0.06
F6 0.2542 0.2542 0.4915  0.00
Ba1 0.0000 0.0000 0.0000  0.01



(5)
Crystalline Rb2BaCuF8 at its relaxed geometry, computed with PBE.

* crystal system: trigonal
* M_tot: 0.083 μB/atom
* raw formation energy: -2.31 eV/atom
* SG: No. 164
* E: -50.69 eV per cell

a b c (Å): 5.8740 5.8740 7.1220
angles (deg): 90.00 90.00 120.00
Site moments in Bohr magnetons follow the coordinates.
Sites, in units of the cell vectors:
Cu1 0.0000 0.0000 0.0000  0.82
F1 0.8528 0.7055 0.8349  0.12
F2 0.8528 0.1472 0.8349  0.12
F3 0.1472 0.8528 0.1651  0.12
F4 0.7055 0.8528 0.1651  0.12
F5 0.1472 0.2945 0.1651  0.12
F6 0.6667 0.3333 0.5132  -0.26
F7 0.2945 0.1472 0.8349  0.12
F8 0.3333 0.6667 0.4868  -0.26
Rb1 0.6667 0.3333 0.1419  -0.01
Rb2 0.3333 0.6667 0.8581  -0.01
Ba1 0.0000 0.0000 0.5000  0.00



(6)
Crystalline Rb2BaCu2F7 at its relaxed geometry, computed with PBE.

* crystal system: tetragonal
* M_tot: 0.085 μB/atom
* raw formation energy: -2.46 eV/atom
* SG: No. 139
* E: -54.68 eV per cell

a b c (Å): 4.2370 4.2370 11.4751
angles (deg): 79.36 79.36 90.00
Site moments in Bohr magnetons follow the coordinates.
Sites, in units of the cell vectors:
F1 0.0851 0.5852 0.8296  0.03
F2 0.5852 0.0851 0.8296  0.03
F3 0.9149 0.4148 0.1704  0.03
F4 0.6899 0.6899 0.6199  0.01
F5 0.5000 0.5000 0.0000  0.05
F6 0.3101 0.3101 0.3801  0.01
F7 0.4148 0.9149 0.1704  0.03
Rb1 0.1836 0.1836 0.6326  0.00
Rb2 0.8164 0.8164 0.3674  0.00
Ba1 0.0000 0.0000 0.0000  0.00
Cu1 0.5969 0.5969 0.8059  0.41
Cu2 0.4031 0.4031 0.1941  0.41



(7)
Crystalline Rb2BaCuF6 at its relaxed geometry, computed with PBE.

* crystal system: monoclinic
* M_tot: 0.100 μB/atom
* raw formation energy: -2.66 eV/atom
* SG: No. 14
* E: -91.56 eV per cell

a b c (Å): 6.5052 6.6010 8.8808
angles (deg): 90.00 90.05 90.00
Site moments in Bohr magnetons follow the coordinates.
Sites, in units of the cell vectors:
Cu1 0.5000 0.0000 0.5000  0.74
Cu2 0.0000 0.5000 0.0000  0.74
F1 0.2536 0.6918 0.0313  0.04
F2 0.1971 0.2326 0.0460  0.01
F3 0.7464 0.3082 0.9687  0.04
F4 0.4313 0.9776 0.7130  0.06
F5 0.9313 0.5224 0.2130  0.06
F6 0.6971 0.2674 0.5460  0.01
F7 0.7536 0.8082 0.5313  0.04
F8 0.3029 0.7326 0.4540  0.01
F9 0.5687 0.0224 0.2870  0.06
F10 0.8029 0.7674 0.9540  0.01
F11 0.2464 0.1918 0.4687  0.04
F12 0.0687 0.4776 0.7870  0.06
Rb1 0.0086 0.9662 0.2505  0.00
Rb2 0.9914 0.0338 0.7495  0.00
Rb3 0.4914 0.4662 0.2495  0.00
Rb4 0.5086 0.5338 0.7505  0.00
Ba1 0.0000 0.5000 0.5000  0.01
Ba2 0.5000 0.0000 0.0000  0.01



(8)
Crystalline RbBa2CuF8 at its relaxed geometry, computed with PBE.

* crystal system: triclinic
* M_tot: 0.017 μB/atom
* raw formation energy: -2.82 eV/atom
* SG: No. 2
* E: -57.70 eV per cell

a b c (Å): 4.5374 6.0780 8.6314
angles (deg): 96.31 84.37 98.37
Sites, in units of the cell vectors:
Cu1 0.0000 0.0000 0.0000
Rb1 0.0000 0.0000 0.5000
F1 0.0602 0.6867 0.2180
F2 0.5416 0.2734 0.4812
F3 0.3444 0.1901 0.9875
F4 0.1030 0.8431 0.8193
F5 0.4584 0.7266 0.5188
F6 0.8970 0.1569 0.1807
F7 0.6556 0.8099 0.0125
F8 0.9398 0.3133 0.7820
Ba1 0.4799 0.5001 0.7522
Ba2 0.5201 0.4999 0.2478



(9)
Crystalline Rb3BaCu2F9 at its relaxed geometry, computed with PBE.

* crystal system: trigonal
* M_tot: 0.134 μB/atom
* raw formation energy: -2.46 eV/atom
* SG: No. 164
* E: -66.79 eV per cell

a b c (Å): 6.1106 6.1106 8.1782
angles (deg): 90.00 90.00 120.00
Site moments in Bohr magnetons follow the coordinates.
Sites, in units of the cell vectors:
Ba1 0.0000 0.0000 0.5000  0.01
F1 0.1780 0.3560 0.2900  0.04
F2 0.8220 0.1780 0.7100  0.04
F3 0.6440 0.8220 0.2900  0.04
F4 0.8220 0.6440 0.7100  0.04
F5 0.5000 0.5000 0.0000  0.09
F6 0.5000 0.0000 0.0000  0.09
F7 0.1780 0.8220 0.2900  0.04
F8 0.3560 0.1780 0.7100  0.04
F9 0.0000 0.5000 0.0000  0.09
Cu1 0.3333 0.6667 0.1457  0.72
Cu2 0.6667 0.3333 0.8543  0.72
Rb1 0.6667 0.3333 0.2745  0.00
Rb2 0.3333 0.6667 0.7255  0.00
Rb3 0.0000 0.0000 0.0000  0.00



(10)
Crystalline BaCuRhF6 at its relaxed geometry, computed with PBE.

* crystal system: orthorhombic
* M_tot: 0.045 μB/atom
* raw formation energy: -2.17 eV/atom
* SG: No. 74
* E: -88.17 eV per cell

a b c (Å): 7.6371 7.0249 7.4597
angles (deg): 118.09 120.79 90.00
Site moments in Bohr magnetons follow the coordinates.
Sites, in units of the cell vectors:
F1 0.0690 0.3259 0.7610  0.00
F2 0.9310 0.0649 0.2390  0.00
F3 0.9310 0.6741 0.2390  0.00
F4 0.6920 0.9351 0.7610  0.00
F5 0.3080 0.6741 0.2390  0.00
F6 0.3080 0.0649 0.2390  0.00
F7 0.6920 0.3259 0.7610  0.00
F8 0.5822 0.3322 0.1643  0.01
F9 0.3241 0.0741 0.6481  0.03
F10 0.4178 0.6678 0.8357  0.01
F11 0.6759 0.9259 0.3519  0.03
F12 0.0690 0.9351 0.7610  0.00
Rh1 0.0000 0.0000 0.5000  0.15
Rh2 0.5000 0.0000 0.5000  0.15
Ba1 0.0751 0.3251 0.1503  0.00
Ba2 0.9249 0.6749 0.8497  0.00
Cu1 0.5000 0.5000 0.0000  0.19
Cu2 0.5000 0.0000 0.0000  0.19



(11)
Crystalline Ba2Cu3RhF12 at its relaxed geometry, computed with PBE.

* crystal system: trigonal
* M_tot: 0.121 μB/atom
* raw formation energy: -2.23 eV/atom
* SG: No. 166
* E: -86.10 eV per cell

a b c (Å): 9.0680 9.0680 9.0680
angles (deg): 39.45 39.45 39.45
Site moments in Bohr magnetons follow the coordinates.
Sites, in units of the cell vectors:
F1 0.3584 0.3584 0.8956  0.09
F2 0.6416 0.6416 0.1044  0.09
F3 0.8764 0.8764 0.3680  0.01
F4 0.3584 0.8956 0.3584  0.09
F5 0.3680 0.8764 0.8764  0.01
F6 0.1236 0.1236 0.6320  0.01
F7 0.6416 0.1044 0.6416  0.09
F8 0.8764 0.3680 0.8764  0.01
F9 0.1044 0.6416 0.6416  0.09
F10 0.8956 0.3584 0.3584  0.09
F11 0.6320 0.1236 0.1236  0.01
F12 0.1236 0.6320 0.1236  0.01
Rh1 0.0000 0.0000 0.0000  0.11
Ba1 0.3824 0.3824 0.3824  0.00
Ba2 0.6176 0.6176 0.6176  0.00
Cu1 0.0000 0.0000 0.5000  0.51
Cu2 0.5000 0.0000 0.0000  0.51
Cu3 0.0000 0.5000 0.0000  0.51



(12)
Crystalline BaCu2RhF8 at its relaxed geometry, computed with PBE.

* crystal system: monoclinic
* M_tot: 0.084 μB/atom
* raw formation energy: -2.00 eV/atom
* SG: No. 12
* E: -56.46 eV per cell

a b c (Å): 4.9987 4.9987 7.9322
angles (deg): 87.72 87.72 69.96
Site moments in Bohr magnetons follow the coordinates.
Sites, in units of the cell vectors:
F1 0.7567 0.7567 0.9798  0.03
F2 0.2433 0.2433 0.0202  0.03
F3 0.2211 0.7619 0.1942  0.02
F4 0.7619 0.2211 0.1942  0.02
F5 0.2381 0.7789 0.8058  0.02
F6 0.3199 0.3199 0.5563  0.02
F7 0.7789 0.2381 0.8058  0.02
F8 0.6801 0.6801 0.4437  0.02
Cu1 0.6662 0.6662 0.2054  0.38
Cu2 0.3338 0.3338 0.7946  0.38
Ba1 0.0000 0.0000 0.5000  0.00
Rh1 0.0000 0.0000 0.0000  0.07



What is the E in the eleventh record? -86.10 eV per cell